Crystalline NaMg2Pd3 at its relaxed geometry. Source: Alexandria, functional PBE-GGA.

```
6
Lattice="3.0529 0.0000 0.0000 0.0000 3.0529 0.0000 0.0000 0.0000 11.0128" Properties=species:S:1:pos:R:3 pbc="T T T"
Na 0.0000 0.0000 0.0000
Mg 0.0000 0.0000 3.7712
Mg 0.0000 0.0000 7.2416
Pd 1.5265 1.5265 2.1597
Pd 1.5265 1.5265 5.5064
Pd 1.5265 1.5265 8.8531
```

Output
VASP energy   -3.877 eV/atom

Crystalline NaMgPd4 at its relaxed geometry. Source: Alexandria, functional PBE-GGA.

```
6
Lattice="0.0000 3.7693 3.7693 3.7693 0.0000 3.7693 3.7693 3.7693 0.0000" Properties=species:S:1:pos:R:3 pbc="T T T"
Na 0.0000 0.0000 0.0000
Mg 5.6540 5.6540 5.6540
Pd 2.8282 2.8282 2.8282
Pd 4.7104 4.7104 2.8282
Pd 4.7104 2.8282 4.7104
Pd 2.8282 4.7104 4.7104
```

Output
VASP energy   -4.218 eV/atom

Crystalline NaMg5Pd4 at its relaxed geometry. Source: Alexandria, functional PBE-GGA.

```
10
Lattice="3.1376 0.0000 0.0000 0.0000 3.1376 0.0000 0.0000 0.0000 18.8076" Properties=species:S:1:pos:R:3 pbc="T T T"
Na 0.0000 0.0000 0.0000
Mg 1.5688 1.5688 2.8379
Mg 1.5688 1.5688 6.1147
Mg 1.5688 1.5688 9.4038
Mg 1.5688 1.5688 12.6930
Mg 1.5688 1.5688 15.9697
Pd 0.0000 0.0000 4.4319
Pd 0.0000 0.0000 7.7611
Pd 0.0000 0.0000 11.0466
Pd 0.0000 0.0000 14.3757
```

Output
VASP energy   -3.571 eV/atom

Crystalline NaMg2Pd2 at its relaxed geometry. Source: Alexandria, functional PBE-GGA.

```
10
Lattice="7.8756 0.0000 0.0000 0.0000 7.8756 0.0000 0.0000 0.0000 2.9979" Properties=species:S:1:pos:R:3 pbc="T T T"
Na 0.0000 0.0000 0.0000
Na 3.9378 3.9378 0.0000
Mg 1.1879 2.7499 1.4989
Mg 2.7499 6.6877 1.4989
Mg 5.1257 1.1879 1.4989
Mg 6.6877 5.1257 1.4989
Pd 1.1155 5.0534 0.0000
Pd 2.8223 1.1155 0.0000
Pd 5.0534 6.7601 0.0000
Pd 6.7601 2.8223 0.0000
```

Output
Polymorph energy (0 for the lowest one)   0 meV/atom